Entry 1:
# PBE RbCa2Pb2, relaxed
# Energy relative to the elements (meV per atom): -248.9
# Energy relative to the lowest polymorph listed for this composition (meV/atom): 134.2
# E_tot (eV per atom): -2.73
data_RbCa2Pb2
_symmetry_space_group_name_H-M 'I 4/m m m'
_symmetry_Int_Tables_number 139
_symmetry_space_group_name_Hall '-I 4 2'
_cell_length_a 5.5853
_cell_length_b 5.5853
_cell_length_c 13.1578
_cell_angle_alpha 90.00
_cell_angle_beta 90.00
_cell_angle_gamma 90.00
loop_
_atom_site_label
_atom_site_type_symbol
_atom_site_fract_x
_atom_site_fract_y
_atom_site_fract_z
Rb1 Rb 0.0000 0.0000 0.0000
Ca1 Ca 0.0000 0.5000 0.2500
Pb1 Pb 0.0000 0.0000 0.3852

---

Entry 2:
# PBE Rb3CaPb, relaxed
# Energy relative to the elements (meV per atom): 272.8
# Energy relative to the lowest polymorph listed for this composition (meV/atom): 0.0
# E_tot (eV per atom): -1.45
data_Rb3CaPb
_symmetry_space_group_name_H-M 'P m -3 m'
_symmetry_Int_Tables_number 221
_symmetry_space_group_name_Hall '-P 4 2 3'
_cell_length_a 7.1868
_cell_length_b 7.1868
_cell_length_c 7.1868
_cell_angle_alpha 90.00
_cell_angle_beta 90.00
_cell_angle_gamma 90.00
loop_
_atom_site_label
_atom_site_type_symbol
_atom_site_fract_x
_atom_site_fract_y
_atom_site_fract_z
Rb1 Rb 0.0000 0.0000 0.5000
Ca1 Ca 0.5000 0.5000 0.5000
Pb1 Pb 0.0000 0.0000 0.0000

---

Entry 3:
# PBE RbCa2Pb2, relaxed
# Energy relative to the elements (meV per atom): -108.4
# Energy relative to the lowest polymorph listed for this composition (meV/atom): 274.8
# E_tot (eV per atom): -2.59
data_RbCa2Pb2
_symmetry_space_group_name_H-M 'I 4/m m m'
_symmetry_Int_Tables_number 139
_symmetry_space_group_name_Hall '-I 4 2'
_cell_length_a 5.8100
_cell_length_b 5.8100
_cell_length_c 12.8936
_cell_angle_alpha 90.00
_cell_angle_beta 90.00
_cell_angle_gamma 90.00
loop_
_atom_site_label
_atom_site_type_symbol
_atom_site_fract_x
_atom_site_fract_y
_atom_site_fract_z
Rb1 Rb 0.0000 0.0000 0.0000
Ca1 Ca 0.0000 0.0000 0.3475
Pb1 Pb 0.0000 0.5000 0.2500

---

Entry 4:
# PBE RbCaPb6, relaxed
# Energy relative to the elements (meV per atom): -146.3
# E_tot (eV per atom): -3.30
data_RbCaPb6
_symmetry_space_group_name_H-M 'P m m 2'
_symmetry_Int_Tables_number 25
_cell_length_a 5.7224
_cell_length_b 7.4751
_cell_length_c 6.2641
_cell_angle_alpha 90.00
_cell_angle_beta 90.00
_cell_angle_gamma 90.00
loop_
_symmetry_equiv_pos_as_xyz
'x,y,z'
'-x,-y,z'
'-x,y,z'
'x,-y,z'
loop_
_atom_site_label
_atom_site_type_symbol
_atom_site_fract_x
_atom_site_fract_y
_atom_site_fract_z
Rb1 Rb 0.0000 0.0000 0.0000
Ca1 Ca 0.5000 0.5000 0.3136
Pb1 Pb 0.0000 0.2790 0.4999
Pb2 Pb 0.0000 0.5000 0.9982
Pb3 Pb 0.5000 0.0000 0.4139
Pb4 Pb 0.5000 0.2856 0.8214

---

Entry 5:
# PBE Rb2Ca2Pb15, relaxed
# Energy relative to the elements (meV per atom): -157.3
# E_tot (eV per atom): -3.40
data_Rb2Ca2Pb15
_symmetry_space_group_name_H-M 'R -3 m'
_symmetry_Int_Tables_number 166
_symmetry_space_group_name_Hall '-R 3 2"'
_cell_length_a 11.3675
_cell_length_b 11.3675
_cell_length_c 17.8037
_cell_angle_alpha 90.00
_cell_angle_beta 90.00
_cell_angle_gamma 120.00
loop_
_atom_site_label
_atom_site_type_symbol
_atom_site_fract_x
_atom_site_fract_y
_atom_site_fract_z
Rb1 Rb 0.0000 0.0000 0.1514
Ca1 Ca 0.0000 0.0000 0.3967
Pb1 Pb 0.0000 0.2897 0.5000
Pb2 Pb 0.0000 0.5000 0.0000
Pb3 Pb 0.0019 0.5010 0.6499

---

Entry 6:
# PBE RbCa2Pb2, relaxed
# Energy relative to the elements (meV per atom): -383.1
# Energy relative to the lowest polymorph listed for this composition (meV/atom): 0.0
# E_tot (eV per atom): -2.86
data_RbCa2Pb2
_symmetry_space_group_name_H-M 'P 4/m b m'
_symmetry_Int_Tables_number 127
_symmetry_space_group_name_Hall '-P 4 2ab'
_cell_length_a 9.9058
_cell_length_b 9.9058
_cell_length_c 3.5218
_cell_angle_alpha 90.00
_cell_angle_beta 90.00
_cell_angle_gamma 90.00
loop_
_atom_site_label
_atom_site_type_symbol
_atom_site_fract_x
_atom_site_fract_y
_atom_site_fract_z
Rb1 Rb 0.0000 0.0000 0.0000
Ca1 Ca 0.1258 0.3742 0.0000
Pb1 Pb 0.1709 0.6709 0.5000

---

Entry 7:
# PBE RbCaRu2Pb, relaxed
# Energy relative to the elements (meV per atom): 1172.8
# E_tot (eV per atom): -3.87
data_RbCaRu2Pb
_symmetry_space_group_name_H-M 'P 4/m m m'
_symmetry_Int_Tables_number 123
_symmetry_space_group_name_Hall '-P 4 2'
_cell_length_a 5.2063
_cell_length_b 5.2063
_cell_length_c 5.7945
_cell_angle_alpha 90.00
_cell_angle_beta 90.00
_cell_angle_gamma 90.00
loop_
_atom_site_label
_atom_site_type_symbol
_atom_site_fract_x
_atom_site_fract_y
_atom_site_fract_z
Rb1 Rb 0.0000 0.0000 0.0000
Ca1 Ca 0.5000 0.5000 0.0000
Ru1 Ru 0.0000 0.5000 0.5000
Pb1 Pb 0.5000 0.5000 0.5000

---

Entry 8:
# PBE Rb2CaSb2Pb, relaxed
# E_tot (eV per atom): -3.20
# ΔE_f (raw) (eV per atom): -0.5479
data_Rb2CaSb2Pb
_symmetry_space_group_name_H-M 'I b a m'
_symmetry_Int_Tables_number 72
_symmetry_space_group_name_Hall '-I 2 2c'
_cell_length_a 7.5094
_cell_length_b 17.4494
_cell_length_c 7.6391
_cell_angle_alpha 90.00
_cell_angle_beta 90.00
_cell_angle_gamma 90.00
loop_
_atom_site_label
_atom_site_type_symbol
_atom_site_fract_x
_atom_site_fract_y
_atom_site_fract_z
Rb1 Rb 0.2286 0.1787 0.0000
Ca1 Ca 0.0000 0.5000 0.2500
Sb1 Sb 0.2403 0.3968 0.0000
Pb1 Pb 0.0000 0.0000 0.2500

---

Copy entry 8 word for word.
# PBE Rb2CaSb2Pb, relaxed
# E_tot (eV per atom): -3.20
# ΔE_f (raw) (eV per atom): -0.5479
data_Rb2CaSb2Pb
_symmetry_space_group_name_H-M 'I b a m'
_symmetry_Int_Tables_number 72
_symmetry_space_group_name_Hall '-I 2 2c'
_cell_length_a 7.5094
_cell_length_b 17.4494
_cell_length_c 7.6391
_cell_angle_alpha 90.00
_cell_angle_beta 90.00
_cell_angle_gamma 90.00
loop_
_atom_site_label
_atom_site_type_symbol
_atom_site_fract_x
_atom_site_fract_y
_atom_site_fract_z
Rb1 Rb 0.2286 0.1787 0.0000
Ca1 Ca 0.0000 0.5000 0.2500
Sb1 Sb 0.2403 0.3968 0.0000
Pb1 Pb 0.0000 0.0000 0.2500

---

Q: Look up the E_tot of the eighth one.
A: -3.20 eV per atom

---

Q: Look up the E_tot of the fifth one.
A: -3.40 eV per atom